Below is crystalline PmPr4Dy at its relaxed geometry, with properties calculated at the PBE-GGA level.

Computed properties:
Energy relative to the elements in eV/atom: 0.172
V in Å³/f.u.: 215
Calculated density in g/cm³: 6.74

Lattice parameters (Å, degrees): 6.2252 6.2252 11.7588 118.26 118.26 32.79
Sites, in units of the cell vectors:
Pm1 0.0000 0.0000 0.0000
Pr1 0.1865 0.1865 0.8422
Pr2 0.1889 0.1889 0.3453
Pr3 0.8111 0.8111 0.6547
Pr4 0.8135 0.8135 0.1578
Dy1 0.0000 0.0000 0.5000